Compound: Na3CdSb
Source: Alexandria via LeMat-Bulk
Functional: GGA-PBE
Structure: relaxed

Computed properties:
Density ... 2.95 g/cm³
Formation energy without anion corrections ... 0.18 eV/atom
Total magnetic moment ... 0.00 μB/atom
Raw total energy ... -1.62 eV per atom

Cell lengths 5.545, 5.545, 5.545 Å; angles 90.00, 90.00, 90.00 degrees
Space group Pm-3m (No. 221)
One atom of each set of equivalent atoms:
Na 0.000 0.000 0.500
Cd 0.000 0.000 0.000
Sb 0.500 0.500 0.500

Compound: NaCdSb2
Source: Alexandria via LeMat-Bulk
Functional: GGA-PBE
Structure: relaxed

Computed properties:
Density ... 5.36 g/cm³
Formation energy without anion corrections ... -0.09 eV/atom
Total magnetic moment ... 0.00 μB/atom
Raw total energy ... -2.71 eV per atom

Cell lengths 4.8377, 4.8377, 17.3668 Å; angles 90.00, 90.00, 120.00 degrees
Space group R3m (No. 160, hexagonal axes)
One atom of each set of equivalent atoms:
Na 0.0000 0.0000 0.0000
Cd 0.0000 0.0000 0.1829
Sb 0.0000 0.0000 0.5933
Sb 0.0000 0.0000 0.7602

Compound: Na2SrCdSb2
Source: Alexandria via LeMat-Bulk
Functional: GGA-PBE
Structure: relaxed

Computed properties:
Density ... 4.49 g/cm³
Formation energy without anion corrections ... -0.62 eV/atom
Total magnetic moment ... 0.00 μB/atom
Raw total energy ... -2.87 eV per atom

Cell lengths 4.812, 9.231, 8.143 Å; angles 90.00, 90.00, 90.00 degrees
Space group Pmc2_1 (No. 26)
One atom of each set of equivalent atoms:
Na 0.000 0.081 0.000
Na 0.500 0.168 0.325
Sr 0.500 0.441 0.954
Cd 0.000 0.311 0.612
Sb 0.000 0.376 0.240
Sb 0.500 0.153 0.710

Compound: NaCdSbTe3
Source: Alexandria via LeMat-Bulk
Functional: GGA-PBE
Structure: relaxed

Computed properties:
Density ... 5.20 g/cm³
Formation energy without anion corrections ... -0.41 eV/atom
Total magnetic moment ... 0.00 μB/atom
Raw total energy ... -3.04 eV per atom

Cell lengths 9.132, 4.463, 10.230 Å; angles 90.00, 101.65, 90.00 degrees
Space group P2_1/m (No. 11)
One atom of each set of equivalent atoms:
Na 0.190 0.250 0.235
Cd 0.088 0.250 0.604
Sb 0.334 0.750 0.868
Te 0.105 0.250 0.886
Te 0.239 0.750 0.513
Te 0.428 0.750 0.155